NaHgAsPd after structural relaxation, computed with PBE-GGA.

```
NaHgAsPd
1.0
6.777 0.000 0.000
0.000 6.777 0.000
0.000 0.000 6.777
Na Hg As Pd
4 4 4 4
Direct
0.000 0.000 0.000 Na
0.000 0.500 0.500 Na
0.500 0.000 0.500 Na
0.500 0.500 0.000 Na
0.000 0.000 0.500 Hg
0.000 0.500 0.000 Hg
0.500 0.000 0.000 Hg
0.500 0.500 0.500 Hg
0.250 0.250 0.750 As
0.250 0.750 0.250 As
0.750 0.250 0.250 As
0.750 0.750 0.750 As
0.250 0.250 0.250 Pd
0.250 0.750 0.750 Pd
0.750 0.250 0.750 Pd
0.750 0.750 0.250 Pd
```

Properties
ΔE to the lowest computed polymorph (meV per atom): 116.0
Crystal system: cubic

---

NaHgAsPd after structural relaxation, computed with PBE-GGA.

```
NaHgAsPd
1.0
6.741 0.000 0.000
0.000 6.741 0.000
0.000 0.000 6.741
Na Hg As Pd
4 4 4 4
Direct
0.000 0.000 0.000 Na
0.000 0.500 0.500 Na
0.500 0.000 0.500 Na
0.500 0.500 0.000 Na
0.250 0.250 0.750 Hg
0.250 0.750 0.250 Hg
0.750 0.250 0.250 Hg
0.750 0.750 0.750 Hg
0.000 0.000 0.500 As
0.000 0.500 0.000 As
0.500 0.000 0.000 As
0.500 0.500 0.500 As
0.250 0.250 0.250 Pd
0.250 0.750 0.750 Pd
0.750 0.250 0.750 Pd
0.750 0.750 0.250 Pd
```

Properties
ΔE to the lowest computed polymorph (meV per atom): 73.7
Crystal system: cubic

---

Rb2Na2HgAs2 after structural relaxation, computed with PBE-GGA.

```
Rb2Na2HgAs2
1.0
2.693 1.555 9.915
-2.693 1.555 9.915
0.000 -3.109 9.915
Rb Na Hg As
2 2 1 2
Direct
0.204 0.204 0.204 Rb
0.796 0.796 0.796 Rb
0.392 0.392 0.392 Na
0.608 0.608 0.608 Na
0.000 0.000 0.000 Hg
0.084 0.084 0.084 As
0.916 0.916 0.916 As
```

Properties
ΔE to the lowest computed polymorph (meV per atom): 0.0
Crystal system: trigonal

---

Rb2Na2HgAs2 after structural relaxation, computed with PBE-GGA.

```
Rb2Na2HgAs2
1.0
2.853 1.647 8.719
-2.853 1.647 8.719
0.000 -3.295 8.719
Rb Na Hg As
2 2 1 2
Direct
0.105 0.105 0.105 Rb
0.895 0.895 0.895 Rb
0.292 0.292 0.292 Na
0.708 0.708 0.708 Na
0.500 0.500 0.500 Hg
0.403 0.403 0.403 As
0.597 0.597 0.597 As
```

Properties
ΔE to the lowest computed polymorph (meV per atom): 19.5
Crystal system: trigonal

---

NaZn2Hg2As3 after structural relaxation, computed with PBE-GGA.

```
NaZn2Hg2As3
1.0
2.119 1.224 12.282
-2.119 1.224 12.282
0.000 -2.447 12.282
Na Zn Hg As
1 2 2 3
Direct
0.000 0.000 0.000 Na
0.394 0.394 0.394 Zn
0.606 0.606 0.606 Zn
0.205 0.205 0.205 Hg
0.795 0.795 0.795 Hg
0.279 0.279 0.279 As
0.500 0.500 0.500 As
0.721 0.721 0.721 As
```

Properties
VASP energy (eV for the cell shown): -19.4
Crystal system: trigonal

---

NbHgAs after structural relaxation, computed with PBE-GGA.

```
NbHgAs
1.0
6.331 0.000 0.000
0.000 6.331 0.000
0.000 0.000 6.331
Nb Hg As
4 4 4
Direct
0.000 0.000 0.000 Nb
0.000 0.500 0.500 Nb
0.500 0.000 0.500 Nb
0.500 0.500 0.000 Nb
0.000 0.000 0.500 Hg
0.000 0.500 0.000 Hg
0.500 0.000 0.000 Hg
0.500 0.500 0.500 Hg
0.250 0.250 0.750 As
0.250 0.750 0.250 As
0.750 0.250 0.250 As
0.750 0.750 0.750 As
```

Properties
ΔE to the lowest computed polymorph (meV per atom): 81.2
Spin magnetization (μB per cell): 0.045
Crystal system: cubic